# Na3TmSc2Te6 | the Alexandria database | PBE-GGA | relaxed
data_Na3TmSc2Te6
_space_group_name_H-M_alt 'C 1 2/m 1'
_space_group_IT_number 12
_space_group_name_Hall '-C 2y'
_cell_length_a 7.4249
_cell_length_b 12.8619
_cell_length_c 7.9440
_cell_angle_alpha 90.00
_cell_angle_beta 108.19
_cell_angle_gamma 90.00
loop_
_atom_site_label
_atom_site_type_symbol
_atom_site_fract_x
_atom_site_fract_y
_atom_site_fract_z
Na1 Na 0.0000 0.0000 0.0000
Na2 Na 0.0000 0.3365 0.0000
Tm1 Tm 0.0000 0.5000 0.5000
Sc1 Sc 0.0000 0.1673 0.5000
Te1 Te 0.2319 0.0000 0.7226
Te2 Te 0.2457 0.3290 0.7232
# total moment	0.0	μB per formula unit
# ΔE_f (raw)	-1.221	eV per atom